P:
SmHoSe3: relaxed, PBE.

Structure (POSCAR):
```
SmHoSe3
1.0
8.1064 0.0000 0.0000
0.0000 4.0849 0.0000
-0.7011 0.0000 8.2041
Sm Ho Se
2 2 6
Direct
0.1194 0.2500 0.2705 Sm
0.8806 0.7500 0.7295 Sm
0.3545 0.7500 0.8229 Ho
0.6455 0.2500 0.1771 Ho
0.1235 0.2500 0.8893 Se
0.1831 0.7500 0.5223 Se
0.3968 0.7500 0.1798 Se
0.6032 0.2500 0.8202 Se
0.8169 0.2500 0.4777 Se
0.8765 0.7500 0.1107 Se
```

## Properties
Its density is 6.750 Mg/m³. As for the size of the total moment: 0.000 μB per atom.


Q:
SmHoSe3: relaxed, PBE.

Structure (POSCAR):
```
SmHoSe3
1.0
7.7027 0.0000 0.0000
0.0000 4.1034 0.0000
0.0000 0.0000 16.0413
Sm Ho Se
4 4 12
Direct
0.1398 0.2500 0.2017 Sm
0.3602 0.7500 0.7017 Sm
0.6398 0.2500 0.2983 Sm
0.8602 0.7500 0.7983 Sm
0.2297 0.7500 0.4576 Ho
0.2703 0.2500 0.9576 Ho
0.7297 0.7500 0.0424 Ho
0.7703 0.2500 0.5424 Ho
0.0085 0.2500 0.3938 Se
0.1214 0.7500 0.0640 Se
0.1518 0.2500 0.7841 Se
0.3482 0.7500 0.2841 Se
0.3786 0.2500 0.5640 Se
0.4915 0.7500 0.8938 Se
0.5085 0.2500 0.1062 Se
0.6214 0.7500 0.4360 Se
0.6518 0.2500 0.7159 Se
0.8482 0.7500 0.2159 Se
0.8786 0.2500 0.9360 Se
0.9915 0.7500 0.6062 Se
```

## Properties
Its density is 7.234 Mg/m³. As for the size of the total moment: 0.000 μB per atom.


Which one sits at the top of the stability order? Q does.


P:
Sm2Ho2Se5: relaxed, PBE.

Structure (POSCAR):
```
Sm2Ho2Se5
1.0
7.3777 -3.8638 0.0000
7.3777 3.8638 0.0000
0.0000 0.0000 7.6968
Sm Ho Se
4 4 10
Direct
0.1975 0.1975 0.0000 Sm
0.3025 0.3025 0.5000 Sm
0.6975 0.6975 0.5000 Sm
0.8025 0.8025 0.0000 Sm
0.1510 0.8490 0.6563 Ho
0.3490 0.6510 0.1563 Ho
0.6510 0.3490 0.8437 Ho
0.8490 0.1510 0.3437 Ho
0.0000 0.0000 0.0000 Se
0.0225 0.7047 0.3455 Se
0.2047 0.5225 0.8455 Se
0.2953 0.9775 0.3455 Se
0.4775 0.7953 0.8455 Se
0.5000 0.5000 0.5000 Se
0.5225 0.2047 0.1545 Se
0.7047 0.0225 0.6545 Se
0.7953 0.4775 0.1545 Se
0.9775 0.2953 0.6545 Se
```

## Properties
As for the density of states at the Fermi level: 0.70 states/eV per atom. Its density is 7.760 Mg/m³. As for the size of the total moment: 0.000 μB per atom.


Q:
Sm2Ho2Se5: relaxed, PBE.

Structure (POSCAR):
```
Sm2Ho2Se5
1.0
8.7823 -1.9979 0.0000
8.7823 1.9979 0.0000
-0.3977 0.0000 7.4876
Sm Ho Se
2 2 5
Direct
0.0290 0.0290 0.2813 Sm
0.9710 0.9710 0.7187 Sm
0.3425 0.3425 0.0864 Ho
0.6575 0.6575 0.9136 Ho
0.1882 0.1882 0.1684 Se
0.4090 0.4090 0.4285 Se
0.5000 0.5000 0.0000 Se
0.5910 0.5910 0.5715 Se
0.8118 0.8118 0.8316 Se
```

## Properties
As for the density of states at the Fermi level: 0.29 states/eV per atom. Its density is 6.480 Mg/m³. As for the size of the total moment: 0.000 μB per atom.


Which one sits at the top of the stability order? P does.


P:
SmHo2Se4: relaxed, PBE.

Structure (POSCAR):
```
SmHo2Se4
1.0
1.9980 -6.7112 0.0000
1.9980 6.7112 0.0000
0.0000 0.0000 13.8126
Sm Ho Se
2 4 8
Direct
0.1255 0.8745 0.7500 Sm
0.8745 0.1255 0.2500 Sm
0.3697 0.6303 0.5687 Ho
0.3697 0.6303 0.9313 Ho
0.6303 0.3697 0.0687 Ho
0.6303 0.3697 0.4313 Ho
0.0000 0.0000 0.0000 Se
0.0000 0.0000 0.5000 Se
0.2749 0.7251 0.1204 Se
0.2749 0.7251 0.3796 Se
0.4644 0.5356 0.7500 Se
0.5356 0.4644 0.2500 Se
0.7251 0.2749 0.6204 Se
0.7251 0.2749 0.8796 Se
```

## Properties
As for the density of states at the Fermi level: 0.29 states/eV per atom. Its density is 7.137 Mg/m³. As for the size of the total moment: 0.000 μB per atom.


Q:
SmHo2Se4: relaxed, PBE.

Structure (POSCAR):
```
SmHo2Se4
1.0
15.3594 0.0000 0.0000
0.0000 4.1084 0.0000
-3.1265 0.0000 6.3823
Sm Ho Se
2 4 8
Direct
0.0000 0.0000 0.0000 Sm
0.5000 0.5000 0.0000 Sm
0.2361 0.5000 0.7268 Ho
0.2639 0.0000 0.2732 Ho
0.7361 0.0000 0.7268 Ho
0.7639 0.5000 0.2732 Ho
0.1274 0.0000 0.4515 Se
0.1382 0.5000 0.9916 Se
0.3618 0.0000 0.0084 Se
0.3726 0.5000 0.5485 Se
0.6274 0.5000 0.4515 Se
0.6382 0.0000 0.9916 Se
0.8618 0.5000 0.0084 Se
0.8726 0.0000 0.5485 Se
```

## Properties
As for the density of states at the Fermi level: 0.38 states/eV per atom. Its density is 6.565 Mg/m³. As for the size of the total moment: 0.000 μB per atom.


Which one sits at the top of the stability order? P does.


P:
SrHo2Se4: relaxed, PBE.

Structure (POSCAR):
```
SrHo2Se4
1.0
2.0628 -6.7631 0.0000
2.0628 6.7631 0.0000
0.0000 0.0000 14.0719
Sr Ho Se
2 4 8
Direct
0.1117 0.8883 0.7500 Sr
0.8883 0.1117 0.2500 Sr
0.3656 0.6344 0.5686 Ho
0.3656 0.6344 0.9314 Ho
0.6344 0.3656 0.0686 Ho
0.6344 0.3656 0.4314 Ho
0.0000 0.0000 0.0000 Se
0.0000 0.0000 0.5000 Se
0.2705 0.7295 0.1151 Se
0.2705 0.7295 0.3849 Se
0.4464 0.5536 0.7500 Se
0.5536 0.4464 0.2500 Se
0.7295 0.2705 0.6151 Se
0.7295 0.2705 0.8849 Se
```

## Properties
Its density is 6.203 Mg/m³. As for the size of the total moment: 0.000 μB per atom.


Q:
SrHo2Se4: relaxed, PBE.

Structure (POSCAR):
```
SrHo2Se4
1.0
12.6218 0.0000 0.0000
0.0000 4.1399 0.0000
0.0000 0.0000 14.9701
Sr Ho Se
4 8 16
Direct
0.2400 0.2500 0.1655 Sr
0.2600 0.7500 0.6655 Sr
0.7400 0.2500 0.3345 Sr
0.7600 0.7500 0.8345 Sr
0.0621 0.2500 0.3892 Ho
0.0831 0.2500 0.9020 Ho
0.4169 0.7500 0.4020 Ho
0.4379 0.7500 0.8892 Ho
0.5621 0.2500 0.1108 Ho
0.5831 0.2500 0.5980 Ho
0.9169 0.7500 0.0980 Ho
0.9379 0.7500 0.6108 Ho
0.0276 0.7500 0.7844 Se
0.0902 0.2500 0.5772 Se
0.1292 0.7500 0.0303 Se
0.2048 0.7500 0.3284 Se
0.2952 0.2500 0.8284 Se
0.3708 0.2500 0.5303 Se
0.4098 0.7500 0.0772 Se
0.4724 0.2500 0.2844 Se
0.5276 0.7500 0.7156 Se
0.5902 0.2500 0.9228 Se
0.6292 0.7500 0.4697 Se
0.7048 0.7500 0.1716 Se
0.7952 0.2500 0.6716 Se
0.8708 0.2500 0.9697 Se
0.9098 0.7500 0.4228 Se
0.9724 0.2500 0.2156 Se
```

## Properties
Its density is 6.227 Mg/m³. As for the size of the total moment: 0.000 μB per atom.


Which one sits at the top of the stability order? Q does.


P:
TbHo3Se4: relaxed, PBE.

Structure (POSCAR):
```
TbHo3Se4
1.0
5.7504 0.0000 0.0000
0.0000 5.7504 0.0000
0.0000 0.0000 5.7504
Tb Ho Se
1 3 4
Direct
0.0000 0.0000 0.0000 Tb
0.0000 0.5000 0.5000 Ho
0.5000 0.0000 0.5000 Ho
0.5000 0.5000 0.0000 Ho
0.0000 0.0000 0.5000 Se
0.0000 0.5000 0.0000 Se
0.5000 0.0000 0.0000 Se
0.5000 0.5000 0.5000 Se
```

## Properties
As for the density of states at the Fermi level: 0.63 states/eV per atom. Its density is 8.467 Mg/m³. As for the size of the total moment: 0.000 μB per atom.


Q:
TbHo3Se4: relaxed, PBE.

Structure (POSCAR):
```
TbHo3Se4
1.0
7.0755 0.0000 0.0000
0.0000 8.0427 0.0000
-2.3266 0.0000 6.6736
Tb Ho Se
2 6 8
Direct
0.0000 0.1244 0.2500 Tb
0.0000 0.8756 0.7500 Tb
0.0000 0.3741 0.7500 Ho
0.0000 0.6259 0.2500 Ho
0.5000 0.1245 0.7500 Ho
0.5000 0.3743 0.2500 Ho
0.5000 0.6257 0.7500 Ho
0.5000 0.8755 0.2500 Ho
0.2512 0.3766 0.5013 Se
0.2512 0.6234 0.0013 Se
0.2527 0.1263 0.9999 Se
0.2527 0.8737 0.4999 Se
0.7473 0.1263 0.5001 Se
0.7473 0.8737 0.0001 Se
0.7488 0.3766 0.9987 Se
0.7488 0.6234 0.4987 Se
```

## Properties
As for the density of states at the Fermi level: 0.44 states/eV per atom. Its density is 8.479 Mg/m³. As for the size of the total moment: 0.000 μB per atom.


Which one sits at the top of the stability order? Q does.


P:
Tb3HoSe6: relaxed, PBE.

Structure (POSCAR):
```
Tb3HoSe6
1.0
11.5908 0.0000 0.0000
0.0000 4.1072 0.0000
-3.8772 0.0000 11.2339
Tb Ho Se
6 2 12
Direct
0.0703 0.2500 0.1681 Tb
0.1829 0.7500 0.5024 Tb
0.3408 0.2500 0.9179 Tb
0.6592 0.7500 0.0821 Tb
0.8171 0.2500 0.4976 Tb
0.9297 0.7500 0.8319 Tb
0.4577 0.2500 0.3096 Ho
0.5423 0.7500 0.6904 Ho
0.0196 0.2500 0.3843 Se
0.1026 0.2500 0.9359 Se
0.2497 0.7500 0.2787 Se
0.3100 0.7500 0.7497 Se
0.3906 0.2500 0.5355 Se
0.4172 0.7500 0.1005 Se
0.5828 0.2500 0.8995 Se
0.6094 0.7500 0.4645 Se
0.6900 0.2500 0.2503 Se
0.7503 0.2500 0.7213 Se
0.8974 0.7500 0.0641 Se
0.9804 0.7500 0.6157 Se
```

## Properties
Its density is 6.927 Mg/m³. As for the size of the total moment: 0.000 μB per atom.


Q:
Tb3HoSe6: relaxed, PBE.

Structure (POSCAR):
```
Tb3HoSe6
1.0
5.9984 3.4632 4.7758
-5.9984 3.4632 4.7758
0.0000 -6.9264 4.7758
Tb Ho Se
6 2 12
Direct
0.0702 0.5792 0.7458 Tb
0.2542 0.9298 0.4208 Tb
0.4208 0.2542 0.9298 Tb
0.5792 0.7458 0.0702 Tb
0.7458 0.0702 0.5792 Tb
0.9298 0.4208 0.2542 Tb
0.0000 0.0000 0.0000 Ho
0.5000 0.5000 0.5000 Ho
0.0381 0.9083 0.6814 Se
0.0917 0.3186 0.9619 Se
0.1856 0.5888 0.4155 Se
0.3186 0.9619 0.0917 Se
0.4112 0.5845 0.8144 Se
0.4155 0.1856 0.5888 Se
0.5845 0.8144 0.4112 Se
0.5888 0.4155 0.1856 Se
0.6814 0.0381 0.9083 Se
0.8144 0.4112 0.5845 Se
0.9083 0.6814 0.0381 Se
0.9619 0.0917 0.3186 Se
```

## Properties
As for the density of states at the Fermi level: 0.00 states/eV per atom. Its density is 6.223 Mg/m³. As for the size of the total moment: 0.000 μB per atom.


Which one sits at the top of the stability order? P does.


P:
Ho4TeSe3: relaxed, PBE.

Structure (POSCAR):
```
Ho4TeSe3
1.0
4.0744 0.0000 0.0000
-2.0372 3.5285 0.0000
0.0000 0.0000 27.6268
Ho Te Se
8 2 6
Direct
0.0000 0.0000 0.1767 Ho
0.0000 0.0000 0.3233 Ho
0.0000 0.0000 0.6767 Ho
0.0000 0.0000 0.8233 Ho
0.3333 0.6667 0.0631 Ho
0.3333 0.6667 0.4369 Ho
0.6667 0.3333 0.5631 Ho
0.6667 0.3333 0.9369 Ho
0.3333 0.6667 0.2500 Te
0.6667 0.3333 0.7500 Te
0.0000 0.0000 0.0000 Se
0.0000 0.0000 0.5000 Se
0.3333 0.6667 0.6196 Se
0.3333 0.6667 0.8804 Se
0.6667 0.3333 0.1196 Se
0.6667 0.3333 0.3804 Se
```

## Properties
As for the density of states at the Fermi level: 0.40 states/eV per atom. Its density is 8.564 Mg/m³. As for the size of the total moment: 0.000 μB per atom.


Q:
Ho4TeSe3: relaxed, PBE.

Structure (POSCAR):
```
Ho4TeSe3
1.0
5.8044 0.0000 0.0000
0.0000 9.7514 0.0000
0.0000 0.0000 8.3438
Ho Te Se
8 2 6
Direct
0.2500 0.0582 0.1488 Ho
0.2500 0.2500 0.7556 Ho
0.2500 0.4418 0.1488 Ho
0.2500 0.7500 0.6186 Ho
0.7500 0.2500 0.3814 Ho
0.7500 0.5582 0.8512 Ho
0.7500 0.7500 0.2444 Ho
0.7500 0.9418 0.8512 Ho
0.2500 0.7500 0.2521 Te
0.7500 0.2500 0.7479 Te
0.2500 0.2500 0.4091 Se
0.2500 0.5359 0.8292 Se
0.2500 0.9641 0.8292 Se
0.7500 0.0359 0.1708 Se
0.7500 0.4641 0.1708 Se
0.7500 0.7500 0.5909 Se
```

## Properties
As for the density of states at the Fermi level: 0.35 states/eV per atom. Its density is 7.202 Mg/m³. As for the size of the total moment: 0.000 μB per atom.


Which one sits at the top of the stability order? P does.


P:
Ho3TeSe3: relaxed, PBE.

Structure (POSCAR):
```
Ho3TeSe3
1.0
4.1240 2.3810 6.8066
-4.1240 2.3810 6.8066
0.0000 -4.7619 6.8066
Ho Te Se
6 2 6
Direct
0.1050 0.4790 0.7011 Ho
0.2989 0.8950 0.5210 Ho
0.4790 0.7011 0.1050 Ho
0.5210 0.2989 0.8950 Ho
0.7011 0.1050 0.4790 Ho
0.8950 0.5210 0.2989 Ho
0.3279 0.3279 0.3279 Te
0.6721 0.6721 0.6721 Te
0.1059 0.8380 0.3665 Se
0.1620 0.6335 0.8941 Se
0.3665 0.1059 0.8380 Se
0.6335 0.8941 0.1620 Se
0.8380 0.3665 0.1059 Se
0.8941 0.1620 0.6335 Se
```

## Properties
As for the density of states at the Fermi level: 0.16 states/eV per atom. Its density is 7.116 Mg/m³. As for the size of the total moment: 0.000 μB per atom.


Q:
Ho3TeSe3: relaxed, PBE.

Structure (POSCAR):
```
Ho3TeSe3
1.0
-5.8794 5.8794 5.8794
5.8794 -5.8794 5.8794
5.8794 5.8794 -5.8794
Ho Te Se
12 4 12
Direct
0.2378 0.7500 0.2622 Ho
0.2378 0.9878 0.9756 Ho
0.2622 0.2378 0.7500 Ho
0.2622 0.5244 0.5122 Ho
0.5122 0.2622 0.5244 Ho
0.5122 0.7500 0.9878 Ho
0.5244 0.5122 0.2622 Ho
0.7500 0.2622 0.2378 Ho
0.7500 0.9878 0.5122 Ho
0.9756 0.2378 0.9878 Ho
0.9878 0.5122 0.7500 Ho
0.9878 0.9756 0.2378 Ho
0.0000 0.2500 0.5000 Te
0.2500 0.2500 0.2500 Te
0.2500 0.5000 0.0000 Te
0.5000 0.0000 0.2500 Te
0.0045 0.0090 0.7545 Se
0.0045 0.4955 0.2500 Se
0.0090 0.7545 0.0045 Se
0.2500 0.0045 0.4955 Se
0.2500 0.7455 0.7545 Se
0.4910 0.4955 0.7455 Se
0.4955 0.2500 0.0045 Se
0.4955 0.7455 0.4910 Se
0.7455 0.4910 0.4955 Se
0.7455 0.7545 0.2500 Se
0.7545 0.0045 0.0090 Se
0.7545 0.2500 0.7455 Se
```

## Properties
As for the density of states at the Fermi level: 0.32 states/eV per atom. Its density is 7.021 Mg/m³. As for the size of the total moment: 0.000 μB per atom.


Which one sits at the top of the stability order? Q does.